Record 1
Rb2NiPS4: optimized geometry, GGA-PBE.

Geometry as CIF:
```
data_Rb2NiPS4
_cell_length_a 5.8988
_cell_length_b 13.1299
_cell_length_c 23.2709
_cell_angle_alpha 90.00
_cell_angle_beta 90.00
_cell_angle_gamma 90.00
_space_group_name_H-M_alt 'F d d d'
_space_group_IT_number 70
loop_
_space_group_symop_operation_xyz
'x,y,z'
'-x,-y,-z'
'-x+1/4,-y+1/4,z'
'x+1/4,y+1/4,-z'
'x,-y+1/4,-z+1/4'
'-x,y+1/4,z+1/4'
'-x+1/4,y,-z+1/4'
'x+1/4,-y,z+1/4'
'x,y+1/2,z+1/2'
'-x,-y+1/2,-z+1/2'
'-x+1/4,-y+3/4,z+1/2'
'x+1/4,y+3/4,-z+1/2'
'x,-y+3/4,-z+3/4'
'-x,y+3/4,z+3/4'
'-x+1/4,y+1/2,-z+3/4'
'x+1/4,-y+1/2,z+3/4'
'x+1/2,y,z+1/2'
'-x+1/2,-y,-z+1/2'
'-x+3/4,-y+1/4,z+1/2'
'x+3/4,y+1/4,-z+1/2'
'x+1/2,-y+1/4,-z+3/4'
'-x+1/2,y+1/4,z+3/4'
'-x+3/4,y,-z+3/4'
'x+3/4,-y,z+3/4'
'x+1/2,y+1/2,z'
'-x+1/2,-y+1/2,-z'
'-x+3/4,-y+3/4,z'
'x+3/4,y+3/4,-z'
'x+1/2,-y+3/4,-z+1/4'
'-x+1/2,y+3/4,z+1/4'
'-x+3/4,y+1/2,-z+1/4'
'x+3/4,-y+1/2,z+1/4'
loop_
_atom_site_label
_atom_site_type_symbol
_atom_site_fract_x
_atom_site_fract_y
_atom_site_fract_z
Rb1 Rb 0.1250 0.1250 0.3018
Ni1 Ni 0.1250 0.1250 0.1250
P1 P 0.1250 0.1250 0.6250
S1 S 0.0943 0.2851 0.8277
```

Summary:
The density comes out at 2866 kg/m³. The size of the total moment is 1.00 μB/f.u. The formation energy from raw total energies is -0.65 eV per atom.

=====

Record 2
RbNi2PSe: optimized geometry, GGA-PBE.

Geometry as CIF:
```
data_RbNi2PSe
_cell_length_a 7.4374
_cell_length_b 3.9488
_cell_length_c 7.9789
_cell_angle_alpha 90.00
_cell_angle_beta 106.49
_cell_angle_gamma 90.00
_space_group_name_H-M_alt 'P 1 21/m 1'
_space_group_IT_number 11
_space_group_name_Hall '-P 2yb'
loop_
_atom_site_label
_atom_site_type_symbol
_atom_site_fract_x
_atom_site_fract_y
_atom_site_fract_z
Rb1 Rb 0.0565 0.2500 0.2487
Ni1 Ni 0.4929 0.7500 0.8824
Ni2 Ni 0.4963 0.7500 0.3725
P1 P 0.3587 0.7500 0.0933
Se1 Se 0.3133 0.7500 0.5813
```

Summary:
The density comes out at 4623 kg/m³. The size of the total moment is 0.00 μB/f.u. The formation energy from raw total energies is -0.46 eV per atom.

=====

Record 3
RbSi2NiP: optimized geometry, GGA-PBE.

Geometry as CIF:
```
data_RbSi2NiP
_cell_length_a 4.5838
_cell_length_b 4.5838
_cell_length_c 6.0180
_cell_angle_alpha 90.00
_cell_angle_beta 90.00
_cell_angle_gamma 90.00
_space_group_name_H-M_alt 'P 4/m m m'
_space_group_IT_number 123
_space_group_name_Hall '-P 4 2'
loop_
_atom_site_label
_atom_site_type_symbol
_atom_site_fract_x
_atom_site_fract_y
_atom_site_fract_z
Rb1 Rb 0.0000 0.0000 0.0000
Si1 Si 0.0000 0.5000 0.5000
Ni1 Ni 0.5000 0.5000 0.0000
P1 P 0.0000 0.0000 0.5000
```

Summary:
The density comes out at 3038 kg/m³. The size of the total moment is 0.32 μB/f.u. The formation energy from raw total energies is 1.12 eV per atom.

=====

Record 4
RbTaNiP2: optimized geometry, GGA-PBE.

Geometry as CIF:
```
data_RbTaNiP2
_cell_length_a 4.8819
_cell_length_b 4.8819
_cell_length_c 5.0034
_cell_angle_alpha 90.00
_cell_angle_beta 90.00
_cell_angle_gamma 90.00
_space_group_name_H-M_alt 'P 4/m m m'
_space_group_IT_number 123
_space_group_name_Hall '-P 4 2'
loop_
_atom_site_label
_atom_site_type_symbol
_atom_site_fract_x
_atom_site_fract_y
_atom_site_fract_z
Rb1 Rb 0.0000 0.0000 0.0000
Ta1 Ta 0.5000 0.5000 0.5000
Ni1 Ni 0.5000 0.5000 0.0000
P1 P 0.0000 0.5000 0.5000
```

Summary:
The density comes out at 5390 kg/m³. The formation energy comes out at 0.28 eV per atom. The size of the total moment is 1.02 μB/f.u.

=====

Record 5
Re2NiP: optimized geometry, GGA-PBE.

Geometry as CIF:
```
data_Re2NiP
_cell_length_a 2.9766
_cell_length_b 3.2785
_cell_length_c 11.3083
_cell_angle_alpha 90.00
_cell_angle_beta 90.00
_cell_angle_gamma 90.00
_space_group_name_H-M_alt 'I m m m'
_space_group_IT_number 71
_space_group_name_Hall '-I 2 2'
loop_
_atom_site_label
_atom_site_type_symbol
_atom_site_fract_x
_atom_site_fract_y
_atom_site_fract_z
Re1 Re 0.0000 0.0000 0.1856
Ni1 Ni 0.0000 0.5000 0.0000
P1 P 0.0000 0.5000 0.5000
```

Summary:
The density comes out at 13906 kg/m³. The formation energy comes out at 0.00 eV per atom. The size of the total moment is 0.00 μB/f.u.

=====

Record 6
Re2NiP: optimized geometry, GGA-PBE.

Geometry as CIF:
```
data_Re2NiP
_cell_length_a 3.0828
_cell_length_b 3.0548
_cell_length_c 11.5504
_cell_angle_alpha 90.00
_cell_angle_beta 90.00
_cell_angle_gamma 90.00
_space_group_name_H-M_alt 'A m m 2'
_space_group_IT_number 38
_space_group_name_Hall 'A 2 -2'
loop_
_atom_site_label
_atom_site_type_symbol
_atom_site_fract_x
_atom_site_fract_y
_atom_site_fract_z
Re1 Re 0.0000 0.0000 0.0000
Re2 Re 0.5000 0.0000 0.3666
Ni1 Ni 0.5000 0.0000 0.6568
P1 P 0.0000 0.0000 0.2053
```

Summary:
The density comes out at 14108 kg/m³. The formation energy comes out at -0.13 eV per atom. The size of the total moment is 0.00 μB/f.u.

=====

Record 7
Re2NiP: optimized geometry, GGA-PBE.

Geometry as CIF:
```
data_Re2NiP
_cell_length_a 2.8333
_cell_length_b 3.7668
_cell_length_c 5.1896
_cell_angle_alpha 90.00
_cell_angle_beta 102.52
_cell_angle_gamma 90.00
_space_group_name_H-M_alt 'P 1 2/m 1'
_space_group_IT_number 10
_space_group_name_Hall '-P 2y'
loop_
_atom_site_label
_atom_site_type_symbol
_atom_site_fract_x
_atom_site_fract_y
_atom_site_fract_z
Re1 Re 0.1425 0.0000 0.2578
Ni1 Ni 0.5000 0.5000 0.0000
P1 P 0.5000 0.5000 0.5000
```

Summary:
The density comes out at 14191 kg/m³. The formation energy comes out at 0.11 eV per atom. The size of the total moment is 0.00 μB/f.u.

=====

Record 8
ReNi4P: optimized geometry, GGA-PBE.

Geometry as CIF:
```
data_ReNi4P
_cell_length_a 6.5816
_cell_length_b 6.5816
_cell_length_c 6.5816
_cell_angle_alpha 90.00
_cell_angle_beta 90.00
_cell_angle_gamma 90.00
_space_group_name_H-M_alt 'F -4 3 m'
_space_group_IT_number 216
_space_group_name_Hall 'F -4 2 3'
loop_
_atom_site_label
_atom_site_type_symbol
_atom_site_fract_x
_atom_site_fract_y
_atom_site_fract_z
Re1 Re 0.0000 0.0000 0.0000
Ni1 Ni 0.1255 0.1255 0.3745
P1 P 0.2500 0.2500 0.7500
```

Summary:
The density comes out at 10530 kg/m³. The formation energy comes out at 0.34 eV per atom. The size of the total moment is 0.00 μB/f.u.

=====

- What is the size of the total moment in the sixth record?
  0.00 μB/f.u.

=====

Please write out number 7 again, unchanged.
Re2NiP: optimized geometry, GGA-PBE.

Geometry as CIF:
```
data_Re2NiP
_cell_length_a 2.8333
_cell_length_b 3.7668
_cell_length_c 5.1896
_cell_angle_alpha 90.00
_cell_angle_beta 102.52
_cell_angle_gamma 90.00
_space_group_name_H-M_alt 'P 1 2/m 1'
_space_group_IT_number 10
_space_group_name_Hall '-P 2y'
loop_
_atom_site_label
_atom_site_type_symbol
_atom_site_fract_x
_atom_site_fract_y
_atom_site_fract_z
Re1 Re 0.1425 0.0000 0.2578
Ni1 Ni 0.5000 0.5000 0.0000
P1 P 0.5000 0.5000 0.5000
```

Summary:
The density comes out at 14191 kg/m³. The formation energy comes out at 0.11 eV per atom. The size of the total moment is 0.00 μB/f.u.

=====

- Which formula does entry 5 have?
  Re2NiP

=====

- What is the formula in the fifth record?
  Re2NiP